# 1
## CuTeRh2 (PBE-GGA)

Data for a geometry-optimized CuTeRh2 structure.

Unit cell a=3.892 b=3.892 c=8.258 alpha=90.00 beta=90.00 gamma=90.00
Space group I-4m2 (No. 119)
Inequivalent atoms, fractional coordinates:
Cu  0.000  0.000  0.000
Te  0.000  0.500  0.750
Rh  0.000  0.000  0.500
Rh  0.000  0.500  0.250

Computed properties:
The total magnetization is 0.000 μB per formula unit. The energy relative to the elements, uncorrected comes out at 0.07 eV/atom. The value obtained for the calculated density is 10.5 g/cm3.

# 2
## Ba2HgP (PBE-GGA)

Data for a geometry-optimized Ba2HgP structure.

Unit cell a=5.525 b=5.525 c=4.346 alpha=90.00 beta=90.00 gamma=90.00
Space group P4/mmm (No. 123)
Inequivalent atoms, fractional coordinates:
Ba  0.000  0.500  0.000
Hg  0.000  0.000  0.500
P  0.500  0.500  0.500

Computed properties:
The total magnetization is 0.000 μB per formula unit. The energy of formation from the pure elements is -64.74 kJ/mol of atoms. The value obtained for the calculated density is 6.3 g/cm3.

# 3
## Sr2Se (PBE-GGA)

Data for a geometry-optimized Sr2Se structure.

Unit cell a=8.8594 b=8.8594 c=4.5189 alpha=90.00 beta=90.00 gamma=120.00
Space group P-62m (No. 189)
Inequivalent atoms, fractional coordinates:
Sr  0.0000  0.2554  0.0000
Sr  0.0000  0.5943  0.5000
Se  0.0000  0.0000  0.5000
Se  0.3333  0.6667  0.0000

Computed properties:
The total magnetization is 1.808 μB per formula unit. The energy relative to the elements, uncorrected comes out at -0.97 eV/atom. The value obtained for the calculated density is 4.1 g/cm3.